Run i
# PBE VTcHRh2, relaxed
data_VTcHRh2
_chemical_formula_sum 'V1 Tc1 H1 Rh2'
_space_group_name_H-M_alt 'P 1'
_space_group_IT_number 1
_cell_length_a 3.815
_cell_length_b 3.815
_cell_length_c 3.985
_cell_angle_alpha 90.00
_cell_angle_beta 90.00
_cell_angle_gamma 90.00
loop_
_space_group_symop_operation_xyz
'x,y,z'
loop_
_atom_site_label
_atom_site_fract_x
_atom_site_fract_y
_atom_site_fract_z
_atom_site_occupancy
V1 0.000 0.000 0.000 1
Tc1 0.500 0.500 0.000 1
H1 0.000 0.000 0.500 1
Rh1 0.000 0.500 0.500 1
Rh2 0.500 0.000 0.500 1
# * D(E_F): 3.920 states/eV/cell
# * SG: P4/mmm (123)
# * density: 10.18 g/cm³

Run ii
# PBE VTcHRh2, relaxed
data_VTcHRh2
_chemical_formula_sum 'V1 Tc1 H1 Rh2'
_space_group_name_H-M_alt 'P 1'
_space_group_IT_number 1
_cell_length_a 3.832
_cell_length_b 3.832
_cell_length_c 3.970
_cell_angle_alpha 90.00
_cell_angle_beta 90.00
_cell_angle_gamma 90.00
loop_
_space_group_symop_operation_xyz
'x,y,z'
loop_
_atom_site_label
_atom_site_fract_x
_atom_site_fract_y
_atom_site_fract_z
_atom_site_occupancy
V1 0.000 0.000 0.000 1
Tc1 0.500 0.500 0.000 1
H1 0.500 0.500 0.500 1
Rh1 0.000 0.500 0.500 1
Rh2 0.500 0.000 0.500 1
# * D(E_F): 3.520 states/eV/cell
# * SG: P4/mmm (123)
# * density: 10.14 g/cm³

Computed energies relative to the best structure, in kJ/mol of atoms: run i 1.0; run ii 0.0